BaCaAl2 | PBE | optimized geometry

Unit cell a=5.951 b=5.951 c=5.951 alpha=130.34 beta=130.34 gamma=72.87
Element x y z (fractional)
Ca  0.750  0.250  0.500
Ba  0.500  0.500  0.000
Al  0.000  0.000  0.000
Al  0.250  0.750  0.500

Values from the calculation:
total magnetic moment = 0.00 Bohr magnetons per cell
formation energy = 0.40 eV per formula unit
symmetry = I-4m2 (119)